# PuThCo2P2 | the Alexandria database | PBE | optimized geometry
data_PuThCo2P2
_cell_length_a 3.9379
_cell_length_b 3.9379
_cell_length_c 7.7681
_cell_angle_alpha 90.00
_cell_angle_beta 90.00
_cell_angle_gamma 120.00
_symmetry_space_group_name_H-M 'P -3 m 1'
_symmetry_Int_Tables_number 164
_symmetry_space_group_name_Hall '-P 3 2"'
loop_
_atom_site_label
_atom_site_type_symbol
_atom_site_fract_x
_atom_site_fract_y
_atom_site_fract_z
_atom_site_occupancy
Pu1 Pu 0.0000 0.0000 0.0000 1
Th1 Th 0.0000 0.0000 0.5000 1
Co1 Co 0.3333 0.6667 0.2468 1
P1 P 0.3333 0.6667 0.7614 1
# * raw total energy: -8.788 eV/atom
# * DOS at the Fermi energy: 1.94 states/eV per atom
# * energy of formation from the pure elements: -0.99 eV/atom
# * calculated volume: 104.3 Å³/f.u.